# CdIn5

A geometry-optimized CdIn5 structure (GGA-PBEsol, Alexandria via LeMat-Bulk).

The structure belongs to space group Cmmm (No. 65); the cell edges are 4.4775, 14.5994 and 4.5051 Å and the angles 90.00°, 90.00° and 90.00°. Symmetry generates all atoms from Cd at (0.0000, 0.0000, 0.0000), In at (0.0000, 0.1631, 0.5000), In at (0.0000, 0.3362, 0.0000) and In at (0.0000, 0.5000, 0.5000).

The total magnetization comes out at 0.000 μB/cell. The calculation puts the volume at 24.541 Å³ per atom. Its formation energy is 0.016 eV/atom.

# LaAgF2

A geometry-optimized LaAgF2 structure (GGA-PBEsol, Alexandria via LeMat-Bulk).

The structure belongs to space group I4_1/amd (No. 141, origin choice 2); the cell edges are 5.1213, 5.1213 and 14.8302 Å and the angles 90.00°, 90.00° and 90.00°. Symmetry generates all atoms from La at (0.0000, 0.2500, 0.3750), Ag at (0.0000, 0.2500, 0.8750) and F at (0.0000, 0.0000, 0.5000).

The formation energy (no corrections) comes out at -867 kJ/mol of formula units. The total magnetization comes out at 0.000 μB/cell. The calculation puts the volume at 24.310 Å³ per atom.

# TiSb

A geometry-optimized TiSb structure (GGA-PBEsol, Alexandria via LeMat-Bulk).

The structure belongs to space group P6_3/mmc (No. 194); the cell edges are 3.9138, 3.9138 and 12.6265 Å and the angles 90.00°, 90.00° and 120.00°. Symmetry generates all atoms from Ti at (0.3333, 0.6667, 0.1189), Sb at (0.0000, 0.0000, 0.0000) and Sb at (0.3333, 0.6667, 0.7500).

The formation energy (no corrections) comes out at -89 kJ/mol of formula units. The total magnetization comes out at 0.000 μB/cell. The calculation puts the volume at 20.937 Å³ per atom.

# LaNi2Ru

A geometry-optimized LaNi2Ru structure (GGA-PBEsol, Alexandria via LeMat-Bulk).

The structure belongs to space group R-3m (No. 166, hexagonal axes); the cell edges are 4.1460, 4.1460 and 14.3783 Å and the angles 90.00°, 90.00° and 120.00°. Symmetry generates all atoms from La at (0.0000, 0.0000, 0.0000), Ni at (0.0000, 0.0000, 0.1920) and Ru at (0.0000, 0.0000, 0.5000).

The total magnetization comes out at 1.861 μB/cell. The calculation puts the volume at 17.836 Å³ per atom. Its formation energy is -0.119 eV/atom.

# Zr2InMoRh

A geometry-optimized Zr2InMoRh structure (GGA-PBEsol, Alexandria via LeMat-Bulk).

The structure belongs to space group P4/mmm (No. 123); the cell edges are 4.8046, 4.8046 and 5.0713 Å and the angles 90.00°, 90.00° and 90.00°. Symmetry generates all atoms from Zr at (0.0000, 0.5000, 0.0000), In at (0.0000, 0.0000, 0.5000), Mo at (0.0000, 0.0000, 0.0000) and Rh at (0.5000, 0.5000, 0.5000).

The total magnetization comes out at 0.000 μB/cell. The calculation puts the volume at 23.414 Å³ per atom. Its formation energy is 0.914 eV/atom.

# PRu3

A geometry-optimized PRu3 structure (GGA-PBEsol, Alexandria via LeMat-Bulk).

The structure belongs to space group Immm (No. 71); the cell edges are 2.8118, 4.2352 and 8.5918 Å and the angles 90.00°, 90.00° and 90.00°. Symmetry generates all atoms from P at (0.0000, 0.0000, 0.0000), Ru at (0.0000, 0.0000, 0.5000) and Ru at (0.0000, 0.5000, 0.2853).

The total magnetization comes out at 0.000 μB/cell. The calculation puts the volume at 12.790 Å³ per atom. Its distance to the lowest polymorph of the same formula is 0.000 eV/atom. Its formation energy is -0.202 eV/atom.